# 1
First-principles (GGA-PBEsol) data for TlTeIr after structural relaxation, as listed in Alexandria.

## Properties
E (eV per atom): -5.136
Energy relative to the elements, uncorrected (eV/atom): 0.190
Theoretical density (g/cm³): 12.82
V (A^3/atom): 22.6

a = 6.477 Å, b = 6.477 Å, c = 6.477 Å
α = 90.00°, β = 90.00°, γ = 90.00°
Space group F-43m (No. 216)
Unique sites:
Tl (0.000, 0.000, 0.000)
Te (0.000, 0.000, 0.500)
Ir (0.250, 0.250, 0.250)

=====

# 2
First-principles (GGA-PBEsol) data for LaCoOsI2 after structural relaxation, as listed in Alexandria.

## Properties
E (eV per atom): -4.893
Energy relative to the elements, uncorrected (eV/atom): 0.874
Theoretical density (g/cm³): 7.28
V (A^3/atom): 29.3

a = 5.321 Å, b = 5.321 Å, c = 5.172 Å
α = 90.00°, β = 90.00°, γ = 90.00°
Space group P4/mmm (No. 123)
Unique sites:
La (0.000, 0.000, 0.000)
Co (0.500, 0.500, 0.000)
Os (0.000, 0.000, 0.500)
I (0.000, 0.500, 0.500)

=====

# 3
First-principles (GGA-PBEsol) data for VPbO3 after structural relaxation, as listed in Alexandria.

## Properties
E (eV per atom): -7.749
Energy relative to the elements, uncorrected (eV/atom): -1.873
Theoretical density (g/cm³): 7.72
V (A^3/atom): 13.2

a = 3.753 Å, b = 3.753 Å, c = 4.677 Å
α = 90.00°, β = 90.00°, γ = 90.00°
Space group P4mm (No. 99)
Unique sites:
V (0.000, 0.000, 0.000)
Pb (0.500, 0.500, 0.444)
O (0.000, 0.000, 0.642)
O (0.000, 0.500, 0.120)

=====

# 4
First-principles (GGA-PBEsol) data for CoTeI2 after structural relaxation, as listed in Alexandria.

## Properties
E (eV per atom): -3.250
Energy relative to the elements, uncorrected (eV/atom): 0.450
Theoretical density (g/cm³): 6.24
V (A^3/atom): 29.3

a = 7.192 Å, b = 7.192 Å, c = 9.066 Å
α = 90.00°, β = 90.00°, γ = 90.00°
Space group I-42d (No. 122)
Unique sites:
Co (0.000, 0.000, 0.000)
Te (0.000, 0.000, 0.500)
I (0.167, 0.250, 0.125)

=====

# 5
First-principles (GGA-PBEsol) data for Si2Ni6B after structural relaxation, as listed in Alexandria.

## Properties
E (eV per atom): -6.711
Energy relative to the elements, uncorrected (eV/atom): -0.549
Theoretical density (g/cm³): 7.79
V (A^3/atom): 9.9

a = 6.0841 Å, b = 6.0841 Å, c = 2.7884 Å
α = 90.00°, β = 90.00°, γ = 120.00°
Space group P-62m (No. 189)
Unique sites:
Si (0.3333, 0.6667, 0.0000)
Ni (0.0000, 0.2456, 0.0000)
Ni (0.0000, 0.6112, 0.5000)
B (0.0000, 0.0000, 0.5000)

=====

# 6
First-principles (GGA-PBEsol) data for Ir2Au after structural relaxation, as listed in Alexandria.

## Properties
E (eV per atom): -7.570
Energy above the most stable polymorph in this dataset (eV per atom): 0.000
Theoretical density (g/cm³): 21.35
DFT formation energy (eV per atom): 0.2865
V (A^3/atom): 15.1

a = 10.080 Å, b = 2.751 Å, c = 6.816 Å
α = 90.00°, β = 106.87°, γ = 90.00°
Space group C2/m (No. 12)
Unique sites:
Ir (0.027, 0.000, 0.322)
Ir (0.193, 0.500, 0.626)
Au (0.138, 0.500, 0.029)

=====

# 7
First-principles (GGA-PBEsol) data for Be2TcHg after structural relaxation, as listed in Alexandria.

## Properties
E (eV per atom): -4.698
Theoretical density (g/cm³): 10.47
DFT formation energy (eV per atom): 0.2607
V (A^3/atom): 12.6

a = 8.995 Å, b = 2.694 Å, c = 4.333 Å
α = 90.00°, β = 106.99°, γ = 90.00°
Space group Cm (No. 8)
Unique sites:
Be (0.000, 0.000, 0.000)
Be (0.213, 0.500, 0.327)
Tc (0.464, 0.000, 0.461)
Hg (0.245, 0.000, 0.843)

=====

# 8
First-principles (GGA-PBEsol) data for TaBe2Hg after structural relaxation, as listed in Alexandria.

## Properties
E (eV per atom): -4.568
Theoretical density (g/cm³): 11.27
DFT formation energy (eV per atom): 0.7117
V (A^3/atom): 14.7

a = 6.174 Å, b = 6.174 Å, c = 6.174 Å
α = 90.00°, β = 90.00°, γ = 90.00°
Space group F-43m (No. 216)
Unique sites:
Ta (0.000, 0.000, 0.000)
Be (0.000, 0.000, 0.500)
Be (0.250, 0.250, 0.750)
Hg (0.250, 0.250, 0.250)

=====

# 9
First-principles (GGA-PBEsol) data for Pr2ScNbO7 after structural relaxation, as listed in Alexandria.

## Properties
E (eV per atom): -9.096
Energy relative to the elements, uncorrected (eV/atom): -3.228
Theoretical density (g/cm³): 5.97
V (A^3/atom): 13.4

a = 7.412 Å, b = 7.551 Å, c = 10.570 Å
α = 90.00°, β = 90.00°, γ = 90.00°
Space group Imma (No. 74)
Unique sites:
Pr (0.000, 0.000, 0.000)
Pr (0.250, 0.250, 0.250)
Sc (0.250, 0.250, 0.750)
Nb (0.000, 0.000, 0.500)
O (0.000, 0.250, 0.127)
O (0.000, 0.250, 0.430)
O (0.000, 0.250, 0.842)
O (0.199, 0.036, 0.625)

=====

# 10
First-principles (GGA-PBEsol) data for SrSiRu after structural relaxation, as listed in Alexandria.

## Properties
E (eV per atom): -4.413
Energy relative to the elements, uncorrected (eV/atom): 1.507
Theoretical density (g/cm³): 5.12
V (A^3/atom): 23.4

a = 6.551 Å, b = 6.551 Å, c = 6.551 Å
α = 90.00°, β = 90.00°, γ = 90.00°
Space group F-43m (No. 216)
Unique sites:
Sr (0.000, 0.000, 0.000)
Si (0.250, 0.250, 0.750)
Ru (0.250, 0.250, 0.250)

=====

# 11
First-principles (GGA-PBEsol) data for Li6ErB3O9 after structural relaxation, as listed in Alexandria.

## Properties
E (eV per atom): -6.988
Energy relative to the elements, uncorrected (eV/atom): -2.513
Theoretical density (g/cm³): 3.48
V (A^3/atom): 9.7

a = 7.121 Å, b = 16.261 Å, c = 6.580 Å
α = 90.00°, β = 105.12°, γ = 90.00°
Space group P2_1/c (No. 14)
Unique sites:
Li (0.044, 0.030, 0.170)
Li (0.062, 0.705, 0.044)
Li (0.194, 0.535, 0.056)
Li (0.217, 0.206, 0.866)
Li (0.366, 0.054, 0.913)
Li (0.428, 0.005, 0.323)
Er (0.419, 0.690, 0.847)
B (0.060, 0.616, 0.690)
B (0.216, 0.122, 0.503)
B (0.413, 0.636, 0.338)
O (0.036, 0.089, 0.416)
O (0.080, 0.700, 0.731)
O (0.109, 0.079, 0.924)
O (0.225, 0.569, 0.772)
O (0.243, 0.204, 0.561)
O (0.353, 0.686, 0.163)
O (0.384, 0.075, 0.544)
O (0.408, 0.553, 0.325)
O (0.490, 0.675, 0.530)

=====

# 12
First-principles (GGA-PBEsol) data for Ca3SnH2 after structural relaxation, as listed in Alexandria.

## Properties
E (eV per atom): -3.540
Theoretical density (g/cm³): 3.17
V (A^3/atom): 21.1

a = 8.694 Å, b = 11.176 Å, c = 5.199 Å
α = 90.00°, β = 90.00°, γ = 90.00°
Space group Cmcm (No. 63)
Unique sites:
Ca (0.000, 0.111, 0.250)
Ca (0.203, 0.389, 0.250)
Sn (0.000, 0.309, 0.750)
H (0.151, 0.000, 0.000)

=====

# 13
First-principles (GGA-PBEsol) data for KPb3 after structural relaxation, as listed in Alexandria.

## Properties
E (eV per atom): -3.337
Theoretical density (g/cm³): 9.07
DFT formation energy (eV per atom): -0.0547
V (A^3/atom): 30.2

a = 4.945 Å, b = 4.945 Å, c = 4.945 Å
α = 90.00°, β = 90.00°, γ = 90.00°
Space group Pm-3m (No. 221)
Unique sites:
K (0.000, 0.000, 0.000)
Pb (0.000, 0.500, 0.500)

=====

# 14
First-principles (GGA-PBEsol) data for TaBeAg2 after structural relaxation, as listed in Alexandria.

## Properties
E (eV per atom): -5.588
Theoretical density (g/cm³): 11.61
DFT formation energy (eV per atom): 0.2055
V (A^3/atom): 14.5

a = 2.817 Å, b = 2.817 Å, c = 7.317 Å
α = 90.00°, β = 90.00°, γ = 90.00°
Space group P4/mmm (No. 123)
Unique sites:
Ta (0.000, 0.000, 0.000)
Be (0.000, 0.000, 0.500)
Ag (0.500, 0.500, 0.296)

=====

# 15
First-principles (GGA-PBEsol) data for TiGaI2N after structural relaxation, as listed in Alexandria.

## Properties
E (eV per atom): -4.233
Energy relative to the elements, uncorrected (eV/atom): 0.512
Theoretical density (g/cm³): 5.59
V (A^3/atom): 22.9

a = 5.686 Å, b = 5.686 Å, c = 3.543 Å
α = 90.00°, β = 90.00°, γ = 90.00°
Space group P4/mmm (No. 123)
Unique sites:
Ti (0.000, 0.000, 0.000)
Ga (0.500, 0.500, 0.500)
I (0.000, 0.500, 0.500)
N (0.500, 0.500, 0.000)

=====

# 16
First-principles (GGA-PBEsol) data for LaNdZn2 after structural relaxation, as listed in Alexandria.

## Properties
E (eV per atom): -3.708
Theoretical density (g/cm³): 7.06
DFT formation energy (eV per atom): -0.2884
V (A^3/atom): 24.3

a = 7.303 Å, b = 7.303 Å, c = 7.303 Å
α = 90.00°, β = 90.00°, γ = 90.00°
Space group Fm-3m (No. 225)
Unique sites:
La (0.000, 0.000, 0.000)
Nd (0.000, 0.000, 0.500)
Zn (0.250, 0.250, 0.250)

=====

# 17
First-principles (GGA-PBEsol) data for LaTaNb2Cd after structural relaxation, as listed in Alexandria.

## Properties
E (eV per atom): -5.921
Theoretical density (g/cm³): 8.33
DFT formation energy (eV per atom): 2.2261
V (A^3/atom): 24.7

a = 4.808 Å, b = 4.808 Å, c = 5.332 Å
α = 90.00°, β = 90.00°, γ = 90.00°
Space group P4/mmm (No. 123)
Unique sites:
La (0.000, 0.000, 0.000)
Ta (0.500, 0.500, 0.500)
Nb (0.000, 0.500, 0.000)
Cd (0.000, 0.000, 0.500)

=====

# 18
First-principles (GGA-PBEsol) data for Mn2TcO4 after structural relaxation, as listed in Alexandria.

## Properties
E (eV per atom): -8.739
Energy relative to the elements, uncorrected (eV/atom): -1.341
Theoretical density (g/cm³): 5.91
V (A^3/atom): 10.9

a = 5.614 Å, b = 6.198 Å, c = 8.787 Å
α = 90.00°, β = 90.00°, γ = 90.00°
Space group Imma (No. 74)
Unique sites:
Mn (0.000, 0.000, 0.000)
Mn (0.000, 0.250, 0.375)
Tc (0.250, 0.250, 0.750)
O (0.000, 0.009, 0.749)
O (0.234, 0.250, 0.981)

=====

# 19
First-principles (GGA-PBEsol) data for MgCoW2 after structural relaxation, as listed in Alexandria.

## Properties
E (eV per atom): -8.822
Theoretical density (g/cm³): 12.89
DFT formation energy (eV per atom): 0.4452
V (A^3/atom): 14.5

a = 5.173 Å, b = 8.815 Å, c = 2.661 Å
α = 90.00°, β = 106.80°, γ = 90.00°
Space group C2/m (No. 12)
Unique sites:
Mg (0.000, 0.000, 0.000)
Co (0.000, 0.500, 0.000)
W (0.250, 0.250, 0.500)

=====

# 20
First-principles (GGA-PBEsol) data for MgNi3P4O14 after structural relaxation, as listed in Alexandria.

## Properties
E (eV per atom): -7.132
Energy relative to the elements, uncorrected (eV/atom): -1.821
Theoretical density (g/cm³): 4.02
V (A^3/atom): 10.3

a = 7.119 Å, b = 7.318 Å, c = 9.443 Å
α = 90.00°, β = 112.94°, γ = 90.00°
Space group P2_1/c (No. 14)
Unique sites:
Mg (0.000, 0.000, 0.000)
Ni (0.319, 0.131, 0.480)
Ni (0.500, 0.000, 0.000)
P (0.084, 0.088, 0.699)
P (0.368, 0.704, 0.186)
O (0.122, 0.234, 0.597)
O (0.133, 0.546, 0.822)
O (0.159, 0.604, 0.159)
O (0.215, 0.122, 0.873)
O (0.306, 0.616, 0.599)
O (0.476, 0.712, 0.362)
O (0.478, 0.578, 0.114)